(1)
Computed, not measured: crystalline Pr6Ir2I3Br at its relaxed geometry at the PBE level of DFT.

V = 400.6 Å³ per cell
raw formation energy = -1.007 eV per atom
crystal system = monoclinic

Cell: 7.5889 7.5889 8.4125 Å, 98.65 98.65 119.90°
Closest atoms and distances in Å follow each position.
Atoms (fractional coordinates):
Pr  0.0648  0.4353  0.8078  2 Ir 2.85
Pr  0.1938  0.1938  0.1900  2 Ir 2.85
Pr  0.4353  0.0648  0.8078  2 Ir 2.85
Pr  0.5647  0.9352  0.1922  2 Ir 2.85
Pr  0.8062  0.8062  0.8100  2 Ir 2.85
Pr  0.9352  0.5647  0.1922  2 Ir 2.85
Ir  0.1672  0.8328  0.0000  6 Pr 2.85
Ir  0.8328  0.1672  0.0000  6 Pr 2.85
I  0.0000  0.0000  0.5000  6 Pr 3.36-3.64
I  0.3405  0.6595  0.5000  6 Pr 3.39-3.66
I  0.6595  0.3405  0.5000  6 Pr 3.39-3.66
Br  0.5000  0.5000  0.0000  6 Pr 3.19-3.21

---

(2)
Computed, not measured: crystalline IrPt2IBr at its relaxed geometry at the PBE level of DFT.

V = 112.4 Å³ per cell
raw formation energy = 1.485 eV per atom
crystal system = tetragonal

Cell: 4.8479 4.8479 4.7840 Å, 90.00 90.00 90.00°
Closest atoms and distances in Å follow each position.
Atoms (fractional coordinates):
Ir  0.0000  0.0000  0.0000  2 Br 2.39
Pt  0.0000  0.5000  0.5000  2 Br 2.42
Pt  0.5000  0.0000  0.5000  2 Br 2.42
I  0.5000  0.5000  0.0000  8 Pt 3.41, 4 Ir 3.43
Br  0.0000  0.0000  0.5000  2 Ir 2.39, 4 Pt 2.42

---

(3)
Computed, not measured: crystalline Rb2IrIBr6 at its relaxed geometry at the PBE level of DFT.

V = 386.0 Å³ per cell
raw formation energy = -0.714 eV per atom
crystal system = tetragonal

Cell: 8.0665 8.0665 8.0665 Å, 117.04 117.04 95.21°
Closest atoms and distances in Å follow each position.
Atoms (fractional coordinates):
Rb  0.2500  0.7500  0.5000  12 Br 4.06-4.22
Rb  0.7500  0.2500  0.5000  12 Br 4.06-4.22
Ir  0.0000  0.0000  0.0000  6 Br 2.50-2.56
I  0.5000  0.5000  0.0000  2 Br 2.88
Br  0.2096  0.2096  0.4192  1 Ir 2.50
Br  0.2096  0.7904  0.0000  1 Ir 2.50
Br  0.2350  0.2350  0.0000  1 Ir 2.56
Br  0.7650  0.7650  0.0000  1 Ir 2.56
Br  0.7904  0.2096  0.0000  1 Ir 2.50
Br  0.7904  0.7904  0.5808  1 Ir 2.50

---

(4)
Computed, not measured: crystalline ReIrIBr2 at its relaxed geometry at the PBE level of DFT.

V = 173.1 Å³ per cell
raw formation energy = 2.116 eV per atom
crystal system = tetragonal

Cell: 5.9303 5.9303 4.9215 Å, 90.00 90.00 90.00°
Closest atoms and distances in Å follow each position.
Atoms (fractional coordinates):
Re  0.0000  0.0000  0.0000  8 Br 3.85, 4 Ir 4.19
Ir  0.5000  0.5000  0.0000  2 I 2.46
I  0.5000  0.5000  0.5000  2 Ir 2.46
Br  0.0000  0.5000  0.5000  2 I 2.97
Br  0.5000  0.0000  0.5000  2 I 2.97

---

(5)
Computed, not measured: crystalline IrRh2IBr at its relaxed geometry at the PBE level of DFT.

V = 125.4 Å³ per cell
raw formation energy = 1.190 eV per atom
crystal system = tetragonal

Cell: 4.8817 4.8817 5.2615 Å, 90.00 90.00 90.00°
Closest atoms and distances in Å follow each position.
Atoms (fractional coordinates):
Ir  0.0000  0.0000  0.0000  4 Rh 2.44, 2 I 2.63
Rh  0.0000  0.5000  0.0000  2 Ir 2.44
Rh  0.5000  0.0000  0.0000  2 Ir 2.44
I  0.0000  0.0000  0.5000  2 Ir 2.63
Br  0.5000  0.5000  0.5000  4 I 3.45, 8 Rh 3.59

---

(6)
Computed, not measured: crystalline IrRhI2Br at its relaxed geometry at the PBE level of DFT.

V = 146.2 Å³ per cell
raw formation energy = 0.951 eV per atom
crystal system = tetragonal

Cell: 5.4216 5.4216 4.9756 Å, 90.00 90.00 90.00°
Closest atoms and distances in Å follow each position.
Atoms (fractional coordinates):
Ir  0.0000  0.0000  0.0000  2 Br 2.49, 4 I 2.71
Rh  0.5000  0.5000  0.5000  8 I 3.68, 4 Br 3.83
I  0.0000  0.5000  0.0000  2 Ir 2.71
I  0.5000  0.0000  0.0000  2 Ir 2.71
Br  0.0000  0.0000  0.5000  2 Ir 2.49

---

(7)
Computed, not measured: crystalline SbIrI2Br at its relaxed geometry at the PBE level of DFT.

V = 185.8 Å³ per cell
raw formation energy = 0.821 eV per atom
crystal system = tetragonal

Cell: 6.0439 6.0439 5.0871 Å, 90.00 90.00 90.00°
Closest atoms and distances in Å follow each position.
Atoms (fractional coordinates):
Sb  0.0000  0.0000  0.0000  2 Ir 2.54
Ir  0.0000  0.0000  0.5000  2 Sb 2.54
I  0.0000  0.5000  0.0000  2 Sb 3.02
I  0.5000  0.0000  0.0000  2 Sb 3.02
Br  0.5000  0.5000  0.5000  8 I 3.95, 4 Ir 4.27

---

(8)
Computed, not measured: crystalline Sb2IrIBr at its relaxed geometry at the PBE level of DFT.

V = 163.2 Å³ per cell
raw formation energy = 1.750 eV per atom
crystal system = tetragonal

Cell: 5.4678 5.4678 5.4570 Å, 90.00 90.00 90.00°
Closest atoms and distances in Å follow each position.
Atoms (fractional coordinates):
Sb  0.0000  0.5000  0.0000  2 Br 2.73
Sb  0.5000  0.0000  0.0000  2 Br 2.73
Ir  0.0000  0.0000  0.5000  8 Sb 3.86, 4 I 3.87
I  0.5000  0.5000  0.5000  2 Br 2.73
Br  0.5000  0.5000  0.0000  2 I 2.73, 4 Sb 2.73

---

(9)
Computed, not measured: crystalline Sb2IrIBr at its relaxed geometry at the PBE level of DFT.

V = 151.0 Å³ per cell
raw formation energy = 0.332 eV per atom
crystal system = tetragonal

Cell: 5.1888 5.1888 5.6076 Å, 90.00 90.00 90.00°
Closest atoms and distances in Å follow each position.
Atoms (fractional coordinates):
Sb  0.0000  0.5000  0.0000  2 Ir 2.59
Sb  0.5000  0.0000  0.0000  2 Ir 2.59
Ir  0.0000  0.0000  0.0000  4 Sb 2.59, 2 I 2.80
I  0.0000  0.0000  0.5000  2 Ir 2.80
Br  0.5000  0.5000  0.5000  4 I 3.67, 8 Sb 3.82

---

(10)
Computed, not measured: crystalline SbIrI2Br at its relaxed geometry at the PBE level of DFT.

V = 155.9 Å³ per cell
raw formation energy = 0.354 eV per atom
crystal system = tetragonal

Cell: 5.5442 5.5442 5.0710 Å, 90.00 90.00 90.00°
Closest atoms and distances in Å follow each position.
Atoms (fractional coordinates):
Sb  0.0000  0.0000  0.0000  2 Ir 2.54
Ir  0.0000  0.0000  0.5000  2 Sb 2.54, 4 I 2.77
I  0.0000  0.5000  0.5000  2 Ir 2.77
I  0.5000  0.0000  0.5000  2 Ir 2.77
Br  0.5000  0.5000  0.0000  8 I 3.76, 4 Sb 3.92

---

(11)
Computed, not measured: crystalline SbIrI2Br at its relaxed geometry at the PBE level of DFT.

V = 183.8 Å³ per cell
raw formation energy = 1.694 eV per atom
crystal system = tetragonal

Cell: 5.6464 5.6464 5.7639 Å, 90.00 90.00 90.00°
Closest atoms and distances in Å follow each position.
Atoms (fractional coordinates):
Sb  0.0000  0.0000  0.0000  2 Br 2.88
Ir  0.5000  0.5000  0.0000  4 Sb 3.99, 8 I 4.03
I  0.0000  0.5000  0.5000  2 Br 2.82
I  0.5000  0.0000  0.5000  2 Br 2.82
Br  0.0000  0.0000  0.5000  4 I 2.82, 2 Sb 2.88

---

(12)
Computed, not measured: crystalline IrSe2IBr at its relaxed geometry at the PBE level of DFT.

V = 126.4 Å³ per cell
raw formation energy = 0.397 eV per atom
crystal system = tetragonal

Cell: 4.9410 4.9410 5.1789 Å, 90.00 90.00 90.00°
Closest atoms and distances in Å follow each position.
Atoms (fractional coordinates):
Ir  0.0000  0.0000  0.0000  4 Se 2.47, 2 Br 2.59
Se  0.0000  0.5000  0.0000  2 Ir 2.47
Se  0.5000  0.0000  0.0000  2 Ir 2.47
I  0.5000  0.5000  0.5000  4 Br 3.49, 8 Se 3.58
Br  0.0000  0.0000  0.5000  2 Ir 2.59

---

(13)
Computed, not measured: crystalline IrSeIBr2 at its relaxed geometry at the PBE level of DFT.

V = 131.2 Å³ per cell
raw formation energy = 0.349 eV per atom
crystal system = tetragonal

Cell: 5.2143 5.2143 4.8251 Å, 90.00 90.00 90.00°
Closest atoms and distances in Å follow each position.
Atoms (fractional coordinates):
Ir  0.0000  0.0000  0.0000  2 Se 2.41, 4 Br 2.61
Se  0.0000  0.0000  0.5000  2 Ir 2.41
I  0.5000  0.5000  0.5000  8 Br 3.55, 4 Se 3.69
Br  0.0000  0.5000  0.0000  2 Ir 2.61
Br  0.5000  0.0000  0.0000  2 Ir 2.61

---

| no. | calculated total energy (eV per atom) |
| --- | --- |
| 1 | -5.401 |
| 2 | -3.348 |
| 3 | -2.952 |
| 4 | -3.125 |
| 5 | -4.167 |
| 6 | -3.246 |
| 7 | -2.730 |
| 8 | -2.316 |
| 9 | -3.734 |
| 10 | -3.197 |
| 11 | -1.857 |
| 12 | -3.414 |
| 13 | -3.100 |